DFT (PBE-GGA) results for an optimized crystal structure of Na4SrHg3F12.

Density = 5.560 Mg/m³
Final energy = -3.806 eV per atom
Spin magnetization = 0.0000 μB per atom

Cell lengths 7.316, 7.316, 7.316 Å; angles 109.47, 109.47, 109.47 degrees
Fractional coordinates of all 20 atoms:
F 0.293 0.834 0.127
F 0.293 0.166 0.459
F 0.166 0.459 0.293
F 0.834 0.127 0.293
F 0.873 0.707 0.166
F 0.166 0.873 0.707
F 0.541 0.707 0.834
F 0.459 0.293 0.166
F 0.707 0.166 0.873
F 0.834 0.541 0.707
F 0.127 0.293 0.834
F 0.707 0.834 0.541
Sr 0.000 0.000 0.000
Na 0.500 0.500 0.500
Na 0.000 0.500 0.000
Na 0.500 0.000 0.000
Na 0.000 0.000 0.500
Hg 0.500 0.000 0.500
Hg 0.000 0.500 0.500
Hg 0.500 0.500 0.000